No. 1
Density functional theory data (PBEsol) for CsEuS2 after structural relaxation.

## Properties
The mass density comes out at 4.91 Mg/m³. Its density of states at the Fermi level is 4.1 states/eV/f.u. The uncorrected formation energy is -1.59 eV per atom.

a = 4.1601 Å, b = 4.1601 Å, c = 15.7496 Å
α = 90.00°, β = 90.00°, γ = 120.00°
Last column: nearest neighbours and their distance in Å.
Positions (direct):
Cs1 0.3333 0.6667 0.2500  6 S 3.45
Cs2 0.6667 0.3333 0.7500  6 S 3.45
Eu1 0.0000 0.0000 0.0000  6 S 2.81
Eu2 0.0000 0.0000 0.5000  6 S 2.81
S1 0.3333 0.6667 0.5926  3 Eu 2.81
S2 0.3333 0.6667 0.9074  3 Eu 2.81
S3 0.6667 0.3333 0.0926  3 Eu 2.81
S4 0.6667 0.3333 0.4074  3 Eu 2.81



No. 2
Density functional theory data (PBEsol) for CsF3 after structural relaxation.

## Properties
The mass density comes out at 4.21 Mg/m³. Its density of states at the Fermi level is 0.0 states/eV/f.u. The uncorrected formation energy is -1.52 eV per atom.

a = 6.8101 Å, b = 5.3254 Å, c = 4.3539 Å
α = 90.00°, β = 108.63°, γ = 90.00°
Last column: nearest neighbours and their distance in Å.
Positions (direct):
Cs1 0.0000 0.0000 0.0000  8 F 2.87-3.08
Cs2 0.5000 0.5000 0.0000  8 F 2.87-3.08
F1 0.0000 0.5000 0.5000  2 F 1.72
F2 0.1870 0.5000 0.3126  1 F 1.72
F3 0.3130 0.0000 0.6874  1 F 1.72
F4 0.5000 0.0000 0.5000  2 F 1.72
F5 0.6870 0.0000 0.3126  1 F 1.72
F6 0.8130 0.5000 0.6874  1 F 1.72



No. 3
Density functional theory data (PBEsol) for CsF after structural relaxation.

## Properties
The mass density comes out at 4.80 Mg/m³. Its density of states at the Fermi level is 0.0 states/eV/f.u. The uncorrected formation energy is -2.67 eV per atom.

a = 5.9445 Å, b = 5.9445 Å, c = 5.9445 Å
α = 90.00°, β = 90.00°, γ = 90.00°
Last column: nearest neighbours and their distance in Å.
Positions (direct):
Cs1 0.0000 0.0000 0.0000  6 F 2.97
Cs2 0.0000 0.5000 0.5000  6 F 2.97
Cs3 0.5000 0.0000 0.5000  6 F 2.97
Cs4 0.5000 0.5000 0.0000  6 F 2.97
F1 0.0000 0.0000 0.5000  6 Cs 2.97
F2 0.0000 0.5000 0.0000  6 Cs 2.97
F3 0.5000 0.0000 0.0000  6 Cs 2.97
F4 0.5000 0.5000 0.5000  6 Cs 2.97



No. 4
Density functional theory data (PBEsol) for Cs4Fe3F10 after structural relaxation.

## Properties
The mass density comes out at 4.86 Mg/m³. Its density of states at the Fermi level is 10.9 states/eV/f.u. The uncorrected formation energy is -2.34 eV per atom.

a = 7.8025 Å, b = 7.8025 Å, c = 13.6488 Å
α = 90.00°, β = 90.00°, γ = 132.97°
Last column: nearest neighbours and their distance in Å.
Positions (direct):
Cs1 0.0489 0.9511 0.8627  10 F 2.90-3.12
Cs2 0.2480 0.7520 0.6143  10 F 2.98-3.24
Cs3 0.2520 0.7480 0.1143  10 F 2.98-3.24
Cs4 0.4511 0.5489 0.3627  10 F 2.90-3.12
Cs5 0.5489 0.4511 0.6373  10 F 2.90-3.12
Cs6 0.7480 0.2520 0.8857  10 F 2.98-3.24
Cs7 0.7520 0.2480 0.3857  10 F 2.98-3.24
Cs8 0.9511 0.0489 0.1373  10 F 2.90-3.12
Fe1 0.0000 0.0000 0.5000  6 F 2.06-2.09
Fe2 0.1115 0.8885 0.3482  6 F 1.96-2.13
Fe3 0.3885 0.6115 0.8482  6 F 1.96-2.13
Fe4 0.5000 0.5000 0.0000  6 F 2.06-2.09
Fe5 0.6115 0.3885 0.1518  6 F 1.96-2.13
Fe6 0.8885 0.1115 0.6518  6 F 1.96-2.13
F1 0.0362 0.9638 0.6486  2 Fe 2.09-2.11
F2 0.1224 0.3240 0.5340  2 Fe 2.06-2.13
F3 0.1443 0.3557 0.7500  2 Fe 2.06
F4 0.1760 0.3776 0.9660  2 Fe 2.06-2.13
F5 0.2484 0.7516 0.3513  1 Fe 1.96
F6 0.2516 0.7484 0.8513  1 Fe 1.96
F7 0.3240 0.1224 0.4660  2 Fe 2.06-2.13
F8 0.3557 0.1443 0.2500  2 Fe 2.06
F9 0.3776 0.1760 0.0340  2 Fe 2.06-2.13
F10 0.4638 0.5362 0.1486  2 Fe 2.09-2.11
F11 0.5362 0.4638 0.8514  2 Fe 2.09-2.11
F12 0.6224 0.8240 0.9660  2 Fe 2.06-2.13
F13 0.6443 0.8557 0.7500  2 Fe 2.06
F14 0.6760 0.8776 0.5340  2 Fe 2.06-2.13
F15 0.7484 0.2516 0.1487  1 Fe 1.96
F16 0.7516 0.2484 0.6487  1 Fe 1.96
F17 0.8240 0.6224 0.0340  2 Fe 2.06-2.13
F18 0.8557 0.6443 0.2500  2 Fe 2.06
F19 0.8776 0.6760 0.4660  2 Fe 2.06-2.13
F20 0.9638 0.0362 0.3514  2 Fe 2.09-2.11



No. 5
Density functional theory data (PBEsol) for Cs3FeF after structural relaxation.

## Properties
The mass density comes out at 3.48 Mg/m³. Its density of states at the Fermi level is 1.2 states/eV/f.u. The uncorrected formation energy is 0.08 eV per atom.

a = 6.0921 Å, b = 6.0921 Å, c = 6.0921 Å
α = 90.00°, β = 90.00°, γ = 90.00°
Last column: nearest neighbours and their distance in Å.
Positions (direct):
Cs1 0.0000 0.0000 0.5000  2 Fe 3.05
Cs2 0.0000 0.5000 0.0000  2 Fe 3.05
Cs3 0.5000 0.0000 0.0000  2 Fe 3.05
Fe1 0.0000 0.0000 0.0000  6 Cs 3.05
F1 0.5000 0.5000 0.5000  12 Cs 4.31



No. 6
Density functional theory data (PBEsol) for CsFeF3 after structural relaxation.

## Properties
The mass density comes out at 5.25 Mg/m³. Its density of states at the Fermi level is 3.6 states/eV/f.u. The uncorrected formation energy is -2.26 eV per atom.

a = 6.0949 Å, b = 6.0949 Å, c = 14.4973 Å
α = 90.00°, β = 90.00°, γ = 120.00°
Last column: nearest neighbours and their distance in Å.
Positions (direct):
Cs1 0.0000 0.0000 0.2500  12 F 3.03-3.05
Cs2 0.0000 0.0000 0.7500  12 F 3.03-3.05
Cs3 0.3333 0.6667 0.0930  12 F 2.99-3.07
Cs4 0.3333 0.6667 0.4070  12 F 2.99-3.07
Cs5 0.6667 0.3333 0.5930  12 F 2.99-3.07
Cs6 0.6667 0.3333 0.9070  12 F 2.99-3.07
Fe1 0.0000 0.0000 0.0000  6 F 2.11
Fe2 0.0000 0.0000 0.5000  6 F 2.11
Fe3 0.3333 0.6667 0.6572  6 F 2.07-2.09
Fe4 0.3333 0.6667 0.8428  6 F 2.07-2.09
Fe5 0.6667 0.3333 0.1572  6 F 2.07-2.09
Fe6 0.6667 0.3333 0.3428  6 F 2.07-2.09
F1 0.0344 0.5172 0.7500  2 Fe 2.07
F2 0.1665 0.3330 0.5801  2 Fe 2.09-2.11
F3 0.1665 0.3330 0.9199  2 Fe 2.09-2.11
F4 0.1665 0.8335 0.5801  2 Fe 2.09-2.11
F5 0.1665 0.8335 0.9199  2 Fe 2.09-2.11
F6 0.3330 0.1665 0.0801  2 Fe 2.09-2.11
F7 0.3330 0.1665 0.4199  2 Fe 2.09-2.11
F8 0.4828 0.5172 0.7500  2 Fe 2.07
F9 0.4828 0.9656 0.7500  2 Fe 2.07
F10 0.5172 0.0344 0.2500  2 Fe 2.07
F11 0.5172 0.4828 0.2500  2 Fe 2.07
F12 0.6670 0.8335 0.5801  2 Fe 2.09-2.11
F13 0.6670 0.8335 0.9199  2 Fe 2.09-2.11
F14 0.8335 0.1665 0.0801  2 Fe 2.09-2.11
F15 0.8335 0.1665 0.4199  2 Fe 2.09-2.11
F16 0.8335 0.6670 0.0801  2 Fe 2.09-2.11
F17 0.8335 0.6670 0.4199  2 Fe 2.09-2.11
F18 0.9656 0.4828 0.2500  2 Fe 2.07